# 1
PBE-GGA Tb2Tl2H, relaxed; crystal system = orthorhombic; space-group type = Cmc2_1 (36)
1.0
3.736 0.000 0.000
0.000 10.452 0.000
-1.868 0.000 6.072
H Tb Tl
2 4 4
Direct
0.396 0.169 0.791
0.604 0.669 0.209
0.445 0.365 0.890
0.555 0.865 0.110
0.159 0.594 0.318
0.841 0.094 0.682
0.902 0.649 0.804
0.098 0.149 0.196
0.282 0.857 0.564
0.718 0.357 0.436


# 2
PBE-GGA La2RuBr, relaxed; crystal system = trigonal; space-group type = R3m (160); energy above the most stable polymorph in this dataset = 19 meV/atom
1.0
4.137 0.000 0.000
2.068 3.583 0.000
2.068 1.194 8.018
La Ru Br
2 1 1
Direct
0.269 0.269 0.194
0.065 0.065 0.805
0.668 0.668 0.997
0.499 0.499 0.504


# 3
PBE-GGA RbCo2AsP, relaxed; crystal system = monoclinic; formation energy from the elements = -0.445 eV per atom; space-group type = P2_1/m (11)
1.0
3.745 0.000 0.000
0.000 7.760 -0.010
0.000 -1.761 7.271
Rb Co P As
2 4 2 2
Direct
0.250 0.052 0.749
0.750 0.948 0.251
0.750 0.503 0.379
0.250 0.497 0.621
0.750 0.497 0.871
0.250 0.503 0.129
0.250 0.657 0.414
0.750 0.343 0.586
0.750 0.322 0.083
0.250 0.678 0.917


# 4
PBE-GGA CaInBr2, relaxed; crystal system = tetragonal; space-group type = P4/mmm (123); energy above the most stable polymorph in this dataset = 376 meV/atom
1.0
-2.468 -0.839 -3.631
-3.547 -2.200 2.920
-2.335 4.494 0.549
Br Ca In
2 1 1
Direct
0.000 0.500 0.500
0.000 0.000 0.000
0.500 0.500 0.000
0.500 0.000 0.500


# 5
PBE-GGA Cd2FeAs, relaxed; crystal system = tetragonal; formation energy from the elements = 0.303 eV per atom; space-group type = P4/mmm (123)
1.0
-2.582 0.414 1.305
-0.931 -2.568 -1.039
3.013 -4.020 7.236
As Cd Fe
1 2 1
Direct
0.500 0.500 0.750
0.000 0.000 0.028
0.000 0.000 0.472
0.500 0.500 0.250


# 6
PBE-GGA ZnInB, relaxed; crystal system = triclinic; formation energy from the elements = 0.402 eV per atom; space-group type = P1 (1)
1.0
-4.553 2.650 1.556
-0.291 -2.495 2.749
2.604 3.094 3.202
Zn In B
2 2 2
Direct
0.478 0.285 0.134
0.054 0.806 0.246
0.714 0.837 0.724
0.197 0.329 0.693
0.412 0.778 0.359
0.683 0.793 0.221


Summary of E in eV for the cell shown
-38.2 -24.4 -54.9 -11.7 -13.7 -19.0
(order as listed above)